(1)
This record from Alexandria via LeMat-Bulk describes crystalline Pr3AgSb2 at its relaxed geometry. The functional is GGA-PBE.

Total magnetic moment (μB/atom): 0.00
Formation energy from raw total energies (eV per atom): -0.7742
E (eV/atom): -5.0133

abc: 14.313 6.387 9.102
angles: 90.00 108.54 90.00
Space group C2/c (No. 15)
Asymmetric unit:
1 Pr 0.000 0.001 0.250 (multiplicity 4)
2 Pr 0.175 0.500 0.087 (multiplicity 8)
3 Ag 0.000 0.499 0.750 (multiplicity 4)
4 Sb 0.165 0.000 0.083 (multiplicity 8)


(2)
This record from Alexandria via LeMat-Bulk describes crystalline Pu2SiOs at its relaxed geometry. The functional is GGA-PBE.

Total magnetic moment (μB/atom): 2.57
Formation energy from raw total energies (eV per atom): -0.2511
Energy above the most stable polymorph in this dataset (meV/atom): 0
E (eV/atom): -11.5803

abc: 10.402 4.377 6.958
angles: 90.00 91.16 90.00
Space group C2/m (No. 12)
Asymmetric unit:
1 Pu 0.147 0.000 0.442 (multiplicity 4)
2 Pu 0.161 0.500 0.111 (multiplicity 4)
3 Si 0.059 0.000 0.849 (multiplicity 4)
4 Os 0.072 0.500 0.691 (multiplicity 4)


(3)
This record from Alexandria via LeMat-Bulk describes crystalline Pm12Cd3In at its relaxed geometry. The functional is GGA-PBE.

Total magnetic moment (μB/atom): 0.00
DFT formation energy (eV/atom): -0.15
E (eV/atom): -4.0569

abc: 4.957 4.957 19.748
angles: 90.00 90.00 90.00
Space group P4/mmm (No. 123)
Asymmetric unit:
1 Pm 0.000 0.000 0.000 (multiplicity 1)
2 Pm 0.000 0.000 0.250 (multiplicity 2)
3 Pm 0.000 0.000 0.500 (multiplicity 1)
4 Pm 0.000 0.500 0.125 (multiplicity 4)
5 Pm 0.000 0.500 0.375 (multiplicity 4)
6 Cd 0.500 0.500 0.000 (multiplicity 1)
7 Cd 0.500 0.500 0.250 (multiplicity 2)
8 In 0.500 0.500 0.500 (multiplicity 1)